DFT (PBE+U) results for CrNiAsO6 after structural relaxation.

Cell: 4.4836 4.4836 8.8649 Å, 90.00 90.00 90.00°
Space group P4_2nm (No. 102)
One atom of each set of equivalent atoms:
Cr  0.0000  0.0000  0.0000 (multiplicity 2)
Ni  0.0000  0.0000  0.6684 (multiplicity 2)
As  0.0000  0.0000  0.3344 (multiplicity 2)
O  0.1865  0.1865  0.1722 (multiplicity 4)
O  0.1973  0.1973  0.4912 (multiplicity 4)
O  0.2080  0.2080  0.8393 (multiplicity 4)

DOS at the Fermi energy (states/eV/cell): 8.60
E (eV/atom): -6.09
M_tot (μB per cell): 6.0

=====

DFT (PBE+U) results for Cr2NiAsO6 after structural relaxation.

Cell: 5.1392 5.1392 13.7852 Å, 90.00 90.00 120.00°
Space group R3 (No. 146, hexagonal axes)
One atom of each set of equivalent atoms:
Cr  0.0000  0.0000  0.0000 (multiplicity 3)
Cr  0.0000  0.0000  0.4980 (multiplicity 3)
Ni  0.0000  0.0000  0.2960 (multiplicity 3)
As  0.0000  0.0000  0.7999 (multiplicity 3)
O  0.0342  0.3588  0.0692 (multiplicity 9)
O  0.0452  0.6794  0.5655 (multiplicity 9)

DOS at the Fermi energy (states/eV/cell): 3.65
E (eV/atom): -6.67
M_tot (μB per cell): 21.0

=====

DFT (PBE+U) results for CrNiAs2O8 after structural relaxation.

Cell: 6.5697 6.5697 6.2100 Å, 90.00 90.00 90.00°
Space group I-4m2 (No. 119)
One atom of each set of equivalent atoms:
Cr  0.0000  0.0000  0.0000 (multiplicity 2)
Ni  0.0000  0.5000  0.2500 (multiplicity 2)
As  0.0000  0.0000  0.5000 (multiplicity 2)
As  0.0000  0.5000  0.7500 (multiplicity 2)
O  0.0000  0.1873  0.3043 (multiplicity 8)
O  0.0000  0.3042  0.9331 (multiplicity 8)

DOS at the Fermi energy (states/eV/cell): 0.10
E (eV/atom): -5.93
M_tot (μB per cell): 8.0